SrPmSb2O8 | PBE | relaxed

Structure (POSCAR):
```
SrPmSb2O8
1.0
-5.337 1.156 -0.174
-1.163 -5.334 0.227
3.121 2.363 5.757
Sr Pm Sb O
1 1 2 8
Direct
0.750 0.250 0.500 Sr
0.000 0.000 0.000 Pm
0.500 0.500 0.000 Sb
0.250 0.750 0.500 Sb
0.769 0.824 0.170 O
0.401 0.346 0.170 O
0.585 0.677 0.683 O
0.097 0.006 0.683 O
0.994 0.415 0.317 O
0.323 0.903 0.317 O
0.176 0.599 0.830 O
0.654 0.231 0.830 O
```

## Properties
The calculation puts the total energy at -6.505 eV/atom. The calculated density is 5.80 g cm⁻³. For the formation energy (no corrections), the calculation gives -1977 meV/atom. The density of states at the Fermi level comes out at 7.97 states/eV/f.u.